1.
DFT (PBE) results for a relaxed Na3ZrBi2Se6 crystal.

Summary:
raw formation energy: -883 meV per atom

```
Na3ZrBi2Se6
1.0
3.650 -6.358 0.000
3.650 6.358 0.000
-2.463 0.000 6.893
Na Zr Bi Se
3 1 2 6
Direct
0.000 0.000 0.000
0.326 0.674 0.000
0.674 0.326 0.000
0.500 0.500 0.500
0.165 0.835 0.500
0.835 0.165 0.500
0.111 0.424 0.272
0.266 0.266 0.729
0.424 0.111 0.272
0.576 0.889 0.728
0.734 0.734 0.271
0.889 0.576 0.728
```

---

2.
DFT (PBE) results for a relaxed Na2Si2Bi crystal.

Summary:
raw formation energy: 86 meV per atom
distance to the lowest polymorph of the same formula: 0.00 eV per formula unit

```
Na2Si2Bi
1.0
7.303 0.000 0.000
0.000 7.303 0.000
0.000 0.000 4.783
Na Si Bi
4 4 2
Direct
0.179 0.321 0.000
0.321 0.821 0.000
0.679 0.179 0.000
0.821 0.679 0.000
0.109 0.609 0.500
0.391 0.109 0.500
0.609 0.891 0.500
0.891 0.391 0.500
0.000 0.000 0.500
0.500 0.500 0.500
```

---

3.
DFT (PBE) results for a relaxed NaSiBi3 crystal.

Summary:
raw formation energy: 371 meV per atom
distance to the lowest polymorph of the same formula: 0.00 eV per formula unit

```
NaSiBi3
1.0
5.538 0.000 0.000
0.000 5.538 0.000
0.000 0.000 5.538
Na Si Bi
1 1 3
Direct
0.000 0.000 0.000
0.500 0.500 0.500
0.000 0.500 0.500
0.500 0.000 0.500
0.500 0.500 0.000
```

---

4.
DFT (PBE) results for a relaxed Na2SiBi2 crystal.

Summary:
raw formation energy: 33 meV per atom

```
Na2SiBi2
1.0
7.655 0.000 0.000
0.000 7.655 0.000
0.000 0.000 5.114
Na Si Bi
4 2 4
Direct
0.167 0.333 0.000
0.333 0.833 0.000
0.667 0.167 0.000
0.833 0.667 0.000
0.000 0.000 0.500
0.500 0.500 0.500
0.145 0.645 0.500
0.355 0.145 0.500
0.645 0.855 0.500
0.855 0.355 0.500
```

---

5.
DFT (PBE) results for a relaxed NaSi2Bi4 crystal.

Summary:
raw formation energy: 613 meV per atom

```
NaSi2Bi4
1.0
5.527 0.000 0.000
0.000 5.527 0.000
0.000 0.000 14.958
Na Si Bi
2 4 8
Direct
0.000 0.000 0.000
0.500 0.500 0.500
0.000 0.000 0.417
0.000 0.000 0.583
0.500 0.500 0.083
0.500 0.500 0.917
0.000 0.000 0.238
0.000 0.000 0.762
0.000 0.500 0.000
0.000 0.500 0.500
0.500 0.000 0.000
0.500 0.000 0.500
0.500 0.500 0.262
0.500 0.500 0.738
```

---

6.
DFT (PBE) results for a relaxed NaSi3Bi crystal.

Summary:
raw formation energy: 1223 meV per atom
distance to the lowest polymorph of the same formula: 0.00 eV per formula unit

```
NaSi3Bi
1.0
5.506 0.000 0.000
0.000 5.506 0.000
0.000 0.000 5.506
Na Si Bi
1 3 1
Direct
0.000 0.000 0.000
0.000 0.500 0.500
0.500 0.000 0.500
0.500 0.500 0.000
0.500 0.500 0.500
```

---

7.
DFT (PBE) results for a relaxed NaSiBi2 crystal.

Summary:
raw formation energy: 117 meV per atom

```
NaSiBi2
1.0
8.405 0.000 0.000
0.000 8.405 0.000
0.000 0.000 6.785
Na Si Bi
4 4 8
Direct
0.000 0.000 0.000
0.000 0.500 0.250
0.500 0.000 0.750
0.500 0.500 0.500
0.000 0.000 0.500
0.000 0.500 0.750
0.500 0.000 0.250
0.500 0.500 0.000
0.192 0.250 0.625
0.250 0.692 0.875
0.250 0.808 0.375
0.308 0.250 0.125
0.692 0.750 0.125
0.750 0.192 0.375
0.750 0.308 0.875
0.808 0.750 0.625
```

---

8.
DFT (PBE) results for a relaxed NaSi2Bi crystal.

Summary:
raw formation energy: 458 meV per atom

```
NaSi2Bi
1.0
8.144 0.000 0.000
0.000 8.144 0.000
0.000 0.000 5.897
Na Si Bi
4 8 4
Direct
0.000 0.000 0.000
0.000 0.500 0.250
0.500 0.000 0.750
0.500 0.500 0.500
0.227 0.250 0.625
0.250 0.727 0.875
0.250 0.773 0.375
0.273 0.250 0.125
0.727 0.750 0.125
0.750 0.227 0.375
0.750 0.273 0.875
0.773 0.750 0.625
0.000 0.000 0.500
0.000 0.500 0.750
0.500 0.000 0.250
0.500 0.500 0.000
```

---

9.
DFT (PBE) results for a relaxed Na2SiBi4 crystal.

Summary:
raw formation energy: 308 meV per atom

```
Na2SiBi4
1.0
5.513 0.000 0.000
0.000 5.513 0.000
0.000 0.000 16.229
Na Si Bi
4 2 8
Direct
0.000 0.000 0.133
0.000 0.000 0.867
0.500 0.500 0.367
0.500 0.500 0.633
0.000 0.000 0.500
0.500 0.500 0.000
0.000 0.000 0.335
0.000 0.000 0.665
0.000 0.500 0.000
0.000 0.500 0.500
0.500 0.000 0.000
0.500 0.000 0.500
0.500 0.500 0.165
0.500 0.500 0.835
```

---

10.
DFT (PBE) results for a relaxed NaSiBi3 crystal.

Summary:
raw formation energy: 1006 meV per atom
distance to the lowest polymorph of the same formula: 3.18 eV per formula unit

```
NaSiBi3
1.0
5.470 0.000 0.000
0.000 5.470 0.000
0.000 0.000 5.470
Na Si Bi
1 1 3
Direct
0.000 0.000 0.000
0.500 0.500 0.500
0.000 0.000 0.500
0.000 0.500 0.000
0.500 0.000 0.000
```